# GGA-PBE CeNpZn, optimized geometry
# - Crystal system: monoclinic
# - M_tot: 1.44 μB/f.u.
# - Final energy: -6.633 eV per atom
data_CeNpZn
_chemical_formula_sum 'Ce2 Np2 Zn2'
_space_group_name_H-M_alt 'P 1 21/m 1'
_space_group_IT_number 11
_cell_length_a 5.1936
_cell_length_b 3.3324
_cell_length_c 7.4475
_cell_angle_alpha 90.00
_cell_angle_beta 97.73
_cell_angle_gamma 90.00
loop_
_space_group_symop_operation_xyz
'x,y,z'
'-x,-y,-z'
'-x,y+1/2,-z'
'x,-y+1/2,z'
loop_
_atom_site_label
_atom_site_type_symbol
_atom_site_fract_x
_atom_site_fract_y
_atom_site_fract_z
_atom_site_occupancy
Ce1 Ce 0.0461 0.2500 0.1870 1
Np1 Np 0.3343 0.7500 0.5135 1
Zn1 Zn 0.4652 0.2500 0.8668 1

---

# GGA-PBE P2BrCl, optimized geometry
# - Crystal system: monoclinic
# - M_tot: 0.00 μB/f.u.
# - Energy relative to the lowest polymorph listed for this composition: 0 meV per atom
# - ΔE_f (raw): -0.241 eV per atom
# - Final energy: -3.826 eV per atom
data_P2BrCl
_chemical_formula_sum 'P2 Br1 Cl1'
_space_group_name_H-M_alt 'P 1 m 1'
_space_group_IT_number 6
_cell_length_a 3.9855
_cell_length_b 3.5895
_cell_length_c 8.1621
_cell_angle_alpha 90.00
_cell_angle_beta 100.78
_cell_angle_gamma 90.00
loop_
_space_group_symop_operation_xyz
'x,y,z'
'x,-y,z'
loop_
_atom_site_label
_atom_site_type_symbol
_atom_site_fract_x
_atom_site_fract_y
_atom_site_fract_z
_atom_site_occupancy
P1 P 0.0000 0.0000 0.0000 1
P2 P 0.3642 0.5000 0.9790 1
Br1 Br 0.0889 0.0000 0.2792 1
Cl1 Cl 0.2854 0.5000 0.7204 1

---

# GGA-PBE LiAlTcIr, optimized geometry
# - Crystal system: cubic
# - M_tot: 0.00 μB/f.u.
# - Final energy: -6.525 eV per atom
data_LiAlTcIr
_chemical_formula_sum 'Li4 Al4 Tc4 Ir4'
_space_group_name_H-M_alt 'F -4 3 m'
_space_group_IT_number 216
_space_group_name_Hall 'F -4 2 3'
_cell_length_a 6.0359
_cell_length_b 6.0359
_cell_length_c 6.0359
_cell_angle_alpha 90.00
_cell_angle_beta 90.00
_cell_angle_gamma 90.00
loop_
_atom_site_label
_atom_site_type_symbol
_atom_site_fract_x
_atom_site_fract_y
_atom_site_fract_z
_atom_site_occupancy
Li1 Li 0.0000 0.0000 0.0000 1
Al1 Al 0.2500 0.2500 0.7500 1
Tc1 Tc 0.2500 0.2500 0.2500 1
Ir1 Ir 0.0000 0.0000 0.5000 1

---

# GGA-PBE Li5GeIr2, optimized geometry
# - Crystal system: orthorhombic
# - M_tot: 0.00 μB/f.u.
# - Final energy: -4.178 eV per atom
data_Li5GeIr2
_chemical_formula_sum 'Li10 Ge2 Ir4'
_space_group_name_H-M_alt 'P b a m'
_space_group_IT_number 55
_cell_length_a 5.5030
_cell_length_b 10.9553
_cell_length_c 3.7532
_cell_angle_alpha 90.00
_cell_angle_beta 90.00
_cell_angle_gamma 90.00
loop_
_space_group_symop_operation_xyz
'x,y,z'
'-x,-y,-z'
'-x,-y,z'
'x,y,-z'
'x+1/2,-y+1/2,-z'
'-x+1/2,y+1/2,z'
'-x+1/2,y+1/2,-z'
'x+1/2,-y+1/2,z'
loop_
_atom_site_label
_atom_site_type_symbol
_atom_site_fract_x
_atom_site_fract_y
_atom_site_fract_z
_atom_site_occupancy
Li1 Li 0.0000 0.0000 0.0000 1
Li2 Li 0.0516 0.2526 0.0000 1
Li3 Li 0.1953 0.8651 0.5000 1
Ge1 Ge 0.0000 0.5000 0.0000 1
Ir1 Ir 0.1900 0.6086 0.5000 1

---

# GGA-PBE PrAlZn2Au, optimized geometry
# - Crystal system: orthorhombic
# - M_tot: 0.00 μB/f.u.
# - Final energy: -3.371 eV per atom
data_PrAlZn2Au
_chemical_formula_sum 'Pr2 Al2 Zn4 Au2'
_space_group_name_H-M_alt 'I m m 2'
_space_group_IT_number 44
_cell_length_a 4.2431
_cell_length_b 4.2919
_cell_length_c 11.1409
_cell_angle_alpha 90.00
_cell_angle_beta 90.00
_cell_angle_gamma 90.00
loop_
_space_group_symop_operation_xyz
'x,y,z'
'-x,-y,z'
'-x,y,z'
'x,-y,z'
'x+1/2,y+1/2,z+1/2'
'-x+1/2,-y+1/2,z+1/2'
'-x+1/2,y+1/2,z+1/2'
'x+1/2,-y+1/2,z+1/2'
loop_
_atom_site_label
_atom_site_type_symbol
_atom_site_fract_x
_atom_site_fract_y
_atom_site_fract_z
_atom_site_occupancy
Pr1 Pr 0.0000 0.0000 0.0000 1
Al1 Al 0.0000 0.5000 0.7455 1
Zn1 Zn 0.0000 0.0000 0.6124 1
Zn2 Zn 0.0000 0.5000 0.2405 1
Au1 Au 0.0000 0.0000 0.3806 1

---

# GGA-PBE La2FePdSe, optimized geometry
# - Crystal system: tetragonal
# - M_tot: 2.39 μB/f.u.
# - ΔE_f (raw): -0.296 eV per atom
# - Final energy: -5.695 eV per atom
data_La2FePdSe
_chemical_formula_sum 'La2 Fe1 Pd1 Se1'
_space_group_name_H-M_alt 'P 4/m m m'
_space_group_IT_number 123
_space_group_name_Hall '-P 4 2'
_cell_length_a 5.6279
_cell_length_b 5.6279
_cell_length_c 4.6098
_cell_angle_alpha 90.00
_cell_angle_beta 90.00
_cell_angle_gamma 90.00
loop_
_atom_site_label
_atom_site_type_symbol
_atom_site_fract_x
_atom_site_fract_y
_atom_site_fract_z
_atom_site_occupancy
La1 La 0.0000 0.5000 0.0000 1
Fe1 Fe 0.0000 0.0000 0.5000 1
Pd1 Pd 0.0000 0.0000 0.0000 1
Se1 Se 0.5000 0.5000 0.5000 1

---

# GGA-PBE Sc2GaAs, optimized geometry
# - Crystal system: orthorhombic
# - M_tot: 0.00 μB/f.u.
# - Energy relative to the lowest polymorph listed for this composition: 0 meV per atom
# - Final energy: -6.067 eV per atom
data_Sc2GaAs
_chemical_formula_sum 'Sc8 Ga4 As4'
_space_group_name_H-M_alt 'C m c m'
_space_group_IT_number 63
_space_group_name_Hall '-C 2c 2'
_cell_length_a 3.9482
_cell_length_b 21.3347
_cell_length_c 3.9033
_cell_angle_alpha 90.00
_cell_angle_beta 90.00
_cell_angle_gamma 90.00
loop_
_atom_site_label
_atom_site_type_symbol
_atom_site_fract_x
_atom_site_fract_y
_atom_site_fract_z
_atom_site_occupancy
Sc1 Sc 0.0000 0.0652 0.2500 1
Sc2 Sc 0.0000 0.3153 0.2500 1
Ga1 Ga 0.0000 0.4603 0.2500 1
As1 As 0.0000 0.1883 0.2500 1

---

# GGA-PBE K2PaTeO6, optimized geometry
# - Crystal system: tetragonal
# - M_tot: 0.00 μB/f.u.
# - ΔE_f (raw): -2.193 eV per atom
# - Final energy: -6.651 eV per atom
data_K2PaTeO6
_chemical_formula_sum 'K2 Pa1 Te1 O6'
_space_group_name_H-M_alt 'P 4 m m'
_space_group_IT_number 99
_cell_length_a 6.0106
_cell_length_b 6.0106
_cell_length_c 4.3297
_cell_angle_alpha 90.00
_cell_angle_beta 90.00
_cell_angle_gamma 90.00
loop_
_space_group_symop_operation_xyz
'x,y,z'
'-y,x,z'
'-x,-y,z'
'y,-x,z'
'-x,y,z'
'y,x,z'
'x,-y,z'
'-y,-x,z'
loop_
_atom_site_label
_atom_site_type_symbol
_atom_site_fract_x
_atom_site_fract_y
_atom_site_fract_z
_atom_site_occupancy
K1 K 0.0000 0.5000 0.0000 1
Pa1 Pa 0.0000 0.0000 0.5059 1
Te1 Te 0.5000 0.5000 0.4850 1
O1 O 0.0000 0.0000 0.0054 1
O2 O 0.2562 0.2562 0.5060 1
O3 O 0.5000 0.5000 0.0331 1

---

# GGA-PBE TbTmGeRu, optimized geometry
# - Crystal system: cubic
# - M_tot: 0.00 μB/f.u.
# - Energy relative to the lowest polymorph listed for this composition: 144 meV per atom
# - Final energy: -6.239 eV per atom
data_TbTmGeRu
_chemical_formula_sum 'Tb4 Tm4 Ge4 Ru4'
_space_group_name_H-M_alt 'F -4 3 m'
_space_group_IT_number 216
_space_group_name_Hall 'F -4 2 3'
_cell_length_a 6.9376
_cell_length_b 6.9376
_cell_length_c 6.9376
_cell_angle_alpha 90.00
_cell_angle_beta 90.00
_cell_angle_gamma 90.00
loop_
_atom_site_label
_atom_site_type_symbol
_atom_site_fract_x
_atom_site_fract_y
_atom_site_fract_z
_atom_site_occupancy
Tb1 Tb 0.0000 0.0000 0.0000 1
Tm1 Tm 0.0000 0.0000 0.5000 1
Ge1 Ge 0.2500 0.2500 0.2500 1
Ru1 Ru 0.2500 0.2500 0.7500 1

---

# GGA-PBE Nd3NpRu3, optimized geometry
# - Crystal system: monoclinic
# - M_tot: 2.22 μB/f.u.
# - Final energy: -7.998 eV per atom
data_Nd3NpRu3
_chemical_formula_sum 'Nd12 Np4 Ru12'
_space_group_name_H-M_alt 'C 1 2/m 1'
_space_group_IT_number 12
_cell_length_a 12.2509
_cell_length_b 4.0772
_cell_length_c 14.7417
_cell_angle_alpha 90.00
_cell_angle_beta 113.51
_cell_angle_gamma 90.00
loop_
_space_group_symop_operation_xyz
'x,y,z'
'-x,-y,-z'
'-x,y,-z'
'x,-y,z'
'x+1/2,y+1/2,z'
'-x+1/2,-y+1/2,-z'
'-x+1/2,y+1/2,-z'
'x+1/2,-y+1/2,z'
loop_
_atom_site_label
_atom_site_type_symbol
_atom_site_fract_x
_atom_site_fract_y
_atom_site_fract_z
_atom_site_occupancy
Nd1 Nd 0.0317 0.0000 0.2957 1
Nd2 Nd 0.1259 0.5000 0.1332 1
Nd3 Nd 0.1757 0.0000 0.5726 1
Np1 Np 0.1676 0.5000 0.8970 1
Ru1 Ru 0.0382 0.5000 0.4312 1
Ru2 Ru 0.0926 0.0000 0.9638 1
Ru3 Ru 0.1786 0.5000 0.7458 1

---

# GGA-PBE BaLiPmAu, optimized geometry
# - Crystal system: cubic
# - M_tot: 0.00 μB/f.u.
# - Final energy: -3.172 eV per atom
data_BaLiPmAu
_chemical_formula_sum 'Ba4 Li4 Pm4 Au4'
_space_group_name_H-M_alt 'F -4 3 m'
_space_group_IT_number 216
_space_group_name_Hall 'F -4 2 3'
_cell_length_a 7.7991
_cell_length_b 7.7991
_cell_length_c 7.7991
_cell_angle_alpha 90.00
_cell_angle_beta 90.00
_cell_angle_gamma 90.00
loop_
_atom_site_label
_atom_site_type_symbol
_atom_site_fract_x
_atom_site_fract_y
_atom_site_fract_z
_atom_site_occupancy
Ba1 Ba 0.0000 0.0000 0.0000 1
Li1 Li 0.2500 0.2500 0.7500 1
Pm1 Pm 0.0000 0.0000 0.5000 1
Au1 Au 0.2500 0.2500 0.2500 1

---

# GGA-PBE LaTlW2, optimized geometry
# - Crystal system: orthorhombic
# - M_tot: 0.00 μB/f.u.
# - Energy relative to the lowest polymorph listed for this composition: 677 meV per atom
# - Final energy: -7.286 eV per atom
data_LaTlW2
_chemical_formula_sum 'La1 Tl1 W2'
_space_group_name_H-M_alt 'P m m m'
_space_group_IT_number 47
_cell_length_a 3.5784
_cell_length_b 4.8419
_cell_length_c 4.9573
_cell_angle_alpha 90.00
_cell_angle_beta 90.00
_cell_angle_gamma 90.00
loop_
_space_group_symop_operation_xyz
'x,y,z'
'-x,-y,-z'
'-x,-y,z'
'x,y,-z'
'x,-y,-z'
'-x,y,z'
'-x,y,-z'
'x,-y,z'
loop_
_atom_site_label
_atom_site_type_symbol
_atom_site_fract_x
_atom_site_fract_y
_atom_site_fract_z
_atom_site_occupancy
La1 La 0.0000 0.0000 0.0000 1
Tl1 Tl 0.5000 0.0000 0.5000 1
W1 W 0.0000 0.5000 0.5000 1
W2 W 0.5000 0.5000 0.0000 1

---

> Which value of M_tot does entry 9 give?

0.00 μB/f.u.